## SrZnSbH2 (PBE)

Data for a relaxed SrZnSbH2 crystal.

Properties
Raw total energy in eV/cell: -30.49

The structure in POSCAR format:
```
SrZnSbH2
1.0
2.2966 -5.6769 0.0000
2.2966 5.6769 0.0000
0.0000 0.0000 6.6601
Sr Zn Sb H
2 2 2 4
direct
0.2231 0.7769 0.7500
0.7769 0.2231 0.2500
0.5000 0.5000 0.0000
0.5000 0.5000 0.5000
0.0581 0.9419 0.2500
0.9419 0.0581 0.7500
0.3498 0.6502 0.0598
0.3498 0.6502 0.4402
0.6502 0.3498 0.5598
0.6502 0.3498 0.9402
```